This record from Alexandria describes a geometry-optimized CaAl2CoBi structure. The functional is PBE-GGA.

POSCAR file:
```
CaAl2CoBi
1.0
5.491 0.000 0.000
0.000 5.491 0.000
0.000 0.000 5.911
Ca Al Co Bi
1 2 1 1
direct
0.000 0.000 0.000 Ca
0.000 0.500 0.500 Al
0.500 0.000 0.500 Al
0.500 0.500 0.000 Co
0.000 0.000 0.500 Bi
```

Results
Space-group type = P4/mmm (123)
Raw total energy = -2.929 eV per atom
Calculated formation energy = 1.166 eV/atom